1.
Computed, not measured: a geometry-optimized SrNi2Te structure at the PBE-GGA level of DFT.

Cell: 4.653 4.298 4.730 Å, 90.00 99.45 90.00°
Positions (direct):
Sr (0.000, 0.000, 0.000)
Ni (0.541, 0.000, 0.434)
Ni (0.565, 0.500, 0.181)
Te (0.426, 0.500, 0.664)

Values from the calculation:
**M_tot**: 0.00 μB/cell
**Crystal system**: monoclinic
**E_form (uncorrected)**: -0.3164 eV/atom
**VASP energy**: -4.413 eV/atom
**Space-group type**: No. 6
**Energy above the lowest structure with this stoichiometry**: 0.059 eV/atom


2.
Computed, not measured: a geometry-optimized LaAlGa2Bi structure at the PBE-GGA level of DFT.

Cell: 5.548 5.548 5.561 Å, 90.00 90.00 90.00°
Positions (direct):
La (0.000, 0.000, 0.000)
Al (0.500, 0.500, 0.000)
Ga (0.000, 0.500, 0.500)
Ga (0.500, 0.000, 0.500)
Bi (0.500, 0.500, 0.500)

Values from the calculation:
**M_tot**: 0.00 μB/cell
**Crystal system**: tetragonal
**E_form**: 0.48 eV/atom
**VASP energy**: -3.244 eV/atom
**Space-group type**: No. 123


3.
Computed, not measured: a geometry-optimized Tm4CdPt2 structure at the PBE-GGA level of DFT.

Cell: 8.604 8.604 8.604 Å, 32.99 32.99 32.99°
Positions (direct):
Tm (0.118, 0.118, 0.118)
Tm (0.371, 0.371, 0.371)
Tm (0.629, 0.629, 0.629)
Tm (0.882, 0.882, 0.882)
Cd (0.500, 0.500, 0.500)
Pt (0.253, 0.253, 0.253)
Pt (0.747, 0.747, 0.747)

Values from the calculation:
**M_tot**: 0.00 μB/cell
**Crystal system**: trigonal
**E_form**: -0.84 eV/atom
**VASP energy**: -5.252 eV/atom
**Space-group type**: No. 166
**Energy above the lowest structure with this stoichiometry**: 0.000 eV/atom


4.
Computed, not measured: a geometry-optimized SiB3Pd structure at the PBE-GGA level of DFT.

Cell: 4.093 4.093 4.093 Å, 90.00 90.00 90.00°
Positions (direct):
Si (0.000, 0.000, 0.000)
B (0.000, 0.500, 0.500)
B (0.500, 0.000, 0.500)
B (0.500, 0.500, 0.000)
Pd (0.500, 0.500, 0.500)

Values from the calculation:
**M_tot**: 0.00 μB/cell
**Crystal system**: cubic
**E_form (uncorrected)**: 1.5908 eV/atom
**VASP energy**: -4.539 eV/atom
**Space-group type**: No. 221
**Energy above the lowest structure with this stoichiometry**: 0.094 eV/atom


5.
Computed, not measured: a geometry-optimized InTcSnIr2 structure at the PBE-GGA level of DFT.

Cell: 4.893 4.893 4.954 Å, 90.00 90.00 90.00°
Positions (direct):
In (0.000, 0.000, 0.000)
Tc (0.000, 0.000, 0.500)
Sn (0.500, 0.500, 0.500)
Ir (0.000, 0.500, 0.000)
Ir (0.500, 0.000, 0.000)

Values from the calculation:
**M_tot**: 3.14 μB/cell
**Crystal system**: tetragonal
**E_form**: 1.80 eV/atom
**VASP energy**: -5.164 eV/atom
**Space-group type**: No. 123


6.
Computed, not measured: a geometry-optimized Na2LiAlBi2 structure at the PBE-GGA level of DFT.

Cell: 8.957 8.957 8.957 Å, 138.23 62.63 135.56°
Positions (direct):
Na (0.171, 0.238, 0.409)
Na (0.329, 0.738, 0.068)
Na (0.671, 0.262, 0.932)
Na (0.829, 0.762, 0.591)
Li (0.250, 0.250, 0.000)
Li (0.750, 0.750, 0.000)
Al (0.250, 0.750, 0.500)
Al (0.750, 0.250, 0.500)
Bi (0.113, 0.734, 0.847)
Bi (0.387, 0.234, 0.621)
Bi (0.613, 0.766, 0.379)
Bi (0.887, 0.266, 0.153)

Values from the calculation:
**M_tot**: 0.00 μB/cell
**Crystal system**: orthorhombic
**E_form**: -0.34 eV/atom
**VASP energy**: -3.012 eV/atom
**Space-group type**: No. 72


7.
Computed, not measured: a geometry-optimized BiSeBr structure at the PBE-GGA level of DFT.

Cell: 6.134 6.136 12.551 Å, 90.00 90.00 90.00°
Positions (direct):
Bi (0.250, 0.000, 0.177)
Bi (0.250, 0.000, 0.677)
Bi (0.750, 0.500, 0.323)
Bi (0.750, 0.500, 0.823)
Se (0.249, 0.000, 0.483)
Se (0.251, 0.000, 0.983)
Se (0.749, 0.500, 0.517)
Se (0.751, 0.500, 0.017)
Br (0.250, 0.499, 0.750)
Br (0.250, 0.501, 0.250)
Br (0.750, 0.001, 0.250)
Br (0.750, 0.999, 0.750)

Values from the calculation:
**M_tot**: 0.00 μB/cell
**Crystal system**: orthorhombic
**E_form (uncorrected)**: -0.1856 eV/atom
**VASP energy**: -3.198 eV/atom
**Space-group type**: No. 19


8.
Computed, not measured: a geometry-optimized AlVPd6 structure at the PBE-GGA level of DFT.

Cell: 4.952 4.983 4.989 Å, 92.28 92.88 93.01°
Positions (direct):
Al (0.000, 0.000, 0.000)
V (0.500, 0.500, 0.500)
Pd (0.027, 0.545, 0.752)
Pd (0.247, 0.966, 0.453)
Pd (0.457, 0.248, 0.967)
Pd (0.543, 0.752, 0.033)
Pd (0.753, 0.034, 0.547)
Pd (0.973, 0.455, 0.248)

Values from the calculation:
**M_tot**: 0.29 μB/cell
**Crystal system**: triclinic
**E_form**: -0.28 eV/atom
**VASP energy**: -5.781 eV/atom
**Space-group type**: No. 2
**Energy above the lowest structure with this stoichiometry**: 0.166 eV/atom


9.
Computed, not measured: a geometry-optimized SiIrS2 structure at the PBE-GGA level of DFT.

Cell: 7.370 7.370 7.370 Å, 25.37 25.37 25.37°
Positions (direct):
Si (0.000, 0.000, 0.000)
Ir (0.500, 0.500, 0.500)
S (0.395, 0.395, 0.395)
S (0.605, 0.605, 0.605)

Values from the calculation:
**M_tot**: 0.00 μB/cell
**Crystal system**: trigonal
**E_form (uncorrected)**: 0.0137 eV/atom
**VASP energy**: -5.621 eV/atom
**Space-group type**: No. 166


10.
Computed, not measured: a geometry-optimized KBa structure at the PBE-GGA level of DFT.

Cell: 7.113 7.113 13.284 Å, 90.00 90.00 120.00°
Positions (direct):
K (0.000, 0.000, 0.250)
K (0.000, 0.000, 0.750)
K (0.333, 0.667, 0.250)
K (0.667, 0.333, 0.750)
Ba (0.333, 0.667, 0.579)
Ba (0.333, 0.667, 0.921)
Ba (0.667, 0.333, 0.079)
Ba (0.667, 0.333, 0.421)

Values from the calculation:
**M_tot**: 0.00 μB/cell
**Crystal system**: hexagonal
**E_form**: 0.22 eV/atom
**VASP energy**: -1.290 eV/atom
**Space-group type**: No. 194


11.
Computed, not measured: a geometry-optimized Pr3Te2Ru structure at the PBE-GGA level of DFT.

Cell: 7.715 7.715 7.484 Å, 99.96 99.96 117.50°
Positions (direct):
Pr (0.000, 0.500, 0.000)
Pr (0.134, 0.269, 0.491)
Pr (0.269, 0.134, 0.991)
Pr (0.500, 0.000, 0.500)
Pr (0.731, 0.866, 0.009)
Pr (0.866, 0.731, 0.509)
Te (0.263, 0.737, 0.750)
Te (0.420, 0.580, 0.250)
Te (0.580, 0.420, 0.750)
Te (0.737, 0.263, 0.250)
Ru (0.093, 0.907, 0.250)
Ru (0.907, 0.093, 0.750)

Values from the calculation:
**M_tot**: 0.00 μB/cell
**Crystal system**: monoclinic
**E_form (uncorrected)**: -0.9212 eV/atom
**VASP energy**: -5.904 eV/atom
**Space-group type**: No. 15


12.
Computed, not measured: a geometry-optimized Ti2Ni13 structure at the PBE-GGA level of DFT.

Cell: 7.014 7.014 7.014 Å, 53.36 53.36 53.36°
Positions (direct):
Ti (0.138, 0.138, 0.138)
Ti (0.862, 0.862, 0.862)
Ni (0.000, 0.000, 0.000)
Ni (0.115, 0.115, 0.507)
Ni (0.115, 0.507, 0.115)
Ni (0.253, 0.253, 0.629)
Ni (0.253, 0.629, 0.253)
Ni (0.371, 0.747, 0.747)
Ni (0.493, 0.885, 0.885)
Ni (0.507, 0.115, 0.115)
Ni (0.629, 0.253, 0.253)
Ni (0.747, 0.371, 0.747)
Ni (0.747, 0.747, 0.371)
Ni (0.885, 0.493, 0.885)
Ni (0.885, 0.885, 0.493)

Values from the calculation:
**M_tot**: 0.61 μB/cell
**Crystal system**: trigonal
**E_form**: 0.31 eV/atom
**VASP energy**: -5.753 eV/atom
**Space-group type**: No. 166